Entry from Alexandria via LeMat-Bulk: KAlSi at its PBEsol-relaxed geometry (meta-GGA SCAN).

Cell lengths 4.2186, 4.2186, 5.4202 Å; angles 90.00, 90.00, 120.00 degrees
Space group P-6m2 (No. 187)
Inequivalent atoms, fractional coordinates:
1 K 0.0000 0.0000 0.0000 x1
2 Al 0.6667 0.3333 0.5000 x1
3 Si 0.3333 0.6667 0.5000 x1

Summary:
total magnetization = 0.000 μB per formula unit
energy relative to the elements, uncorrected = -0.093 eV per atom
energy = -8.79 eV/atom